Entry 1:
First-principles (PBE-GGA) data for Ac2BiH after structural relaxation, as listed in Alexandria.

Lattice parameters (Å, degrees): 4.4914 4.4914 21.9035 90.00 90.00 120.00
Space group R-3m (No. 166, hexagonal axes)
Symmetry-distinct sites (fractional):
1 Ac 0.0000 0.0000 0.2373 [6 per cell]
2 Bi 0.0000 0.0000 0.0000 [3 per cell]
3 H 0.0000 0.0000 0.5000 [3 per cell]

Output
* density of states at the Fermi level: 0.493 states/eV per atom

***

Entry 2:
First-principles (PBE-GGA) data for Ac2Bi2H after structural relaxation, as listed in Alexandria.

Lattice parameters (Å, degrees): 4.889 16.762 8.177 90.00 90.00 90.00
Space group Cmc2_1 (No. 36)
Symmetry-distinct sites (fractional):
1 Ac 0.000 0.055 0.000 [4 per cell]
2 Ac 0.000 0.341 0.878 [4 per cell]
3 Bi 0.000 0.296 0.466 [4 per cell]
4 Bi 0.000 0.459 0.213 [4 per cell]
5 H 0.000 0.092 0.326 [4 per cell]

Output
* density of states at the Fermi level: 0.845 states/eV per atom

***

Entry 3:
First-principles (PBE-GGA) data for Ac2BiH after structural relaxation, as listed in Alexandria.

Lattice parameters (Å, degrees): 7.925 7.925 7.925 90.00 90.00 90.00
Space group Fm-3m (No. 225)
Symmetry-distinct sites (fractional):
1 Ac 0.250 0.250 0.250 [8 per cell]
2 Bi 0.000 0.000 0.000 [4 per cell]
3 H 0.000 0.000 0.500 [4 per cell]

Output
* density of states at the Fermi level: 0.799 states/eV per atom

***

Entry 4:
First-principles (PBE-GGA) data for Ac3Bi2H after structural relaxation, as listed in Alexandria.

Lattice parameters (Å, degrees): 14.510 6.813 9.298 90.00 108.48 90.00
Space group C2/c (No. 15)
Symmetry-distinct sites (fractional):
1 Ac 0.000 0.037 0.250 [4 per cell]
2 Ac 0.150 0.497 0.577 [8 per cell]
3 Bi 0.178 0.002 0.088 [8 per cell]
4 H 0.000 0.414 0.250 [4 per cell]

Output
* density of states at the Fermi level: 0.716 states/eV per atom

***

Entry 5:
First-principles (PBE-GGA) data for Ac3BiH3 after structural relaxation, as listed in Alexandria.

Lattice parameters (Å, degrees): 6.994 6.994 6.994 90.00 90.00 90.00
Space group Pm-3n (No. 223)
Symmetry-distinct sites (fractional):
1 Ac 0.000 0.250 0.500 [6 per cell]
2 Bi 0.000 0.000 0.000 [2 per cell]
3 H 0.000 0.500 0.250 [6 per cell]

Output
* density of states at the Fermi level: 0.715 states/eV per atom

***

Entry 6:
First-principles (PBE-GGA) data for Ac2BiH after structural relaxation, as listed in Alexandria.

Lattice parameters (Å, degrees): 5.445 5.445 4.276 90.00 90.00 90.00
Space group P4/mmm (No. 123)
Symmetry-distinct sites (fractional):
1 Ac 0.000 0.500 0.000 [2 per cell]
2 Bi 0.000 0.000 0.500 [1 per cell]
3 H 0.500 0.500 0.500 [1 per cell]

Output
* density of states at the Fermi level: 0.671 states/eV per atom

***

Entry 7:
First-principles (PBE-GGA) data for AcBi4H after structural relaxation, as listed in Alexandria.

Lattice parameters (Å, degrees): 9.252 9.252 9.252 90.00 90.00 90.00
Space group F-43m (No. 216)
Symmetry-distinct sites (fractional):
1 Ac 0.000 0.000 0.000 [4 per cell]
2 Bi 0.124 0.124 0.376 [16 per cell]
3 H 0.250 0.250 0.750 [4 per cell]

Output
* density of states at the Fermi level: 0.995 states/eV per atom

***

Entry 8:
First-principles (PBE-GGA) data for Ac2BiH after structural relaxation, as listed in Alexandria.

Lattice parameters (Å, degrees): 8.980 6.073 8.985 90.00 104.43 90.00
Space group P2_1/c (No. 14)
Symmetry-distinct sites (fractional):
1 Ac 0.005 0.242 0.375 [4 per cell]
2 Ac 0.360 0.741 0.465 [4 per cell]
3 Bi 0.316 0.243 0.703 [4 per cell]
4 H 0.093 0.626 0.401 [4 per cell]

Output
* density of states at the Fermi level: 0.699 states/eV per atom

***

Entry 9:
First-principles (PBE-GGA) data for Ac3Bi3H2 after structural relaxation, as listed in Alexandria.

Lattice parameters (Å, degrees): 3.893 6.098 10.105 79.68 79.23 90.00
Space group P-1 (No. 2)
Symmetry-distinct sites (fractional):
1 Ac 0.000 0.000 0.000 [1 per cell]
2 Ac 0.174 0.601 0.658 [2 per cell]
3 Bi 0.344 0.914 0.308 [2 per cell]
4 Bi 0.500 0.500 0.000 [1 per cell]
5 H 0.262 0.395 0.473 [2 per cell]

Output
* density of states at the Fermi level: 0.558 states/eV per atom

***

Entry 10:
First-principles (PBE-GGA) data for Ac2BiH3 after structural relaxation, as listed in Alexandria.

Lattice parameters (Å, degrees): 16.616 4.348 7.871 90.00 114.63 90.00
Space group C2/m (No. 12)
Symmetry-distinct sites (fractional):
1 Ac 0.027 0.000 0.265 [4 per cell]
2 Ac 0.203 0.500 0.687 [4 per cell]
3 Bi 0.132 0.500 0.050 [4 per cell]
4 H 0.062 0.500 0.417 [4 per cell]
5 H 0.095 0.000 0.620 [4 per cell]
6 H 0.193 0.000 0.479 [4 per cell]

***

Entry 11:
First-principles (PBE-GGA) data for Ac4Bi3H2 after structural relaxation, as listed in Alexandria.

Lattice parameters (Å, degrees): 13.537 10.972 8.053 90.00 100.68 90.00
Space group C2/c (No. 15)
Symmetry-distinct sites (fractional):
1 Ac 0.104 0.181 0.019 [8 per cell]
2 Ac 0.169 0.430 0.611 [8 per cell]
3 Bi 0.000 0.388 0.250 [4 per cell]
4 Bi 0.150 0.118 0.629 [8 per cell]
5 H 0.201 0.368 0.934 [8 per cell]

Output
* density of states at the Fermi level: 0.317 states/eV per atom

***

Entry 12:
First-principles (PBE-GGA) data for Ac2BiH4 after structural relaxation, as listed in Alexandria.

Lattice parameters (Å, degrees): 4.1837 4.1837 26.4787 90.00 90.00 120.00
Space group R-3m (No. 166, hexagonal axes)
Symmetry-distinct sites (fractional):
1 Ac 0.0000 0.0000 0.2342 [6 per cell]
2 Bi 0.0000 0.0000 0.0000 [3 per cell]
3 H 0.0000 0.0000 0.1378 [6 per cell]
4 H 0.0000 0.0000 0.4406 [6 per cell]

Output
* density of states at the Fermi level: 0.212 states/eV per atom

***

Entry 13:
First-principles (PBE-GGA) data for AcHgBiH after structural relaxation, as listed in Alexandria.

Lattice parameters (Å, degrees): 7.636 4.370 6.926 90.00 111.37 90.00
Space group Cm (No. 8)
Symmetry-distinct sites (fractional):
1 Ac 0.000 0.000 0.000 [2 per cell]
2 Hg 0.446 0.000 0.345 [2 per cell]
3 Bi 0.200 0.000 0.606 [2 per cell]
4 H 0.176 0.500 0.024 [2 per cell]

Output
* density of states at the Fermi level: 0.544 states/eV per atom

***

Entry 14:
First-principles (PBE-GGA) data for Ac2BiH2I after structural relaxation, as listed in Alexandria.

Lattice parameters (Å, degrees): 4.4512 4.4512 9.4147 90.00 90.00 120.00
Space group P-3m1 (No. 164)
Symmetry-distinct sites (fractional):
1 Ac 0.3333 0.6667 0.2297 [2 per cell]
2 Bi 0.0000 0.0000 0.0000 [1 per cell]
3 H 0.3333 0.6667 0.7412 [2 per cell]
4 I 0.0000 0.0000 0.5000 [1 per cell]

***

Entry 15:
First-principles (PBE-GGA) data for AcBiH8Ir2 after structural relaxation, as listed in Alexandria.

Lattice parameters (Å, degrees): 6.451 4.746 8.586 90.00 92.99 90.00
Space group C2/m (No. 12)
Symmetry-distinct sites (fractional):
1 Ac 0.000 0.000 0.000 [2 per cell]
2 Bi 0.000 0.000 0.500 [2 per cell]
3 H 0.100 0.287 0.748 [8 per cell]
4 H 0.119 0.500 0.452 [4 per cell]
5 H 0.131 0.500 0.063 [4 per cell]
6 Ir 0.122 0.500 0.259 [4 per cell]

Output
* density of states at the Fermi level: 0.168 states/eV per atom

***

Entry 16:
First-principles (PBE-GGA) data for AcBiH6Ir2 after structural relaxation, as listed in Alexandria.

Lattice parameters (Å, degrees): 8.432 12.254 4.741 90.00 90.00 90.00
Space group Cmcm (No. 63)
Symmetry-distinct sites (fractional):
1 Ac 0.000 0.171 0.250 [4 per cell]
2 Bi 0.000 0.410 0.750 [4 per cell]
3 H 0.144 0.000 0.000 [8 per cell]
4 H 0.232 0.320 0.029 [16 per cell]
5 Ir 0.247 0.421 0.250 [8 per cell]

Output
* density of states at the Fermi level: 0.107 states/eV per atom

***

Entry 17:
First-principles (PBE-GGA) data for AcNi2BiH6 after structural relaxation, as listed in Alexandria.

Lattice parameters (Å, degrees): 8.393 11.892 4.612 90.00 100.77 90.00
Space group C2/c (No. 15)
Symmetry-distinct sites (fractional):
1 Ac 0.000 0.167 0.250 [4 per cell]
2 Ni 0.246 0.430 0.207 [8 per cell]
3 Bi 0.000 0.398 0.750 [4 per cell]
4 H 0.141 0.173 0.806 [8 per cell]
5 H 0.154 0.004 0.013 [8 per cell]
6 H 0.168 0.348 0.408 [8 per cell]

Output
* density of states at the Fermi level: 0.174 states/eV per atom

***

Entry 18:
First-principles (PBE-GGA) data for Ac2BiH2O6 after structural relaxation, as listed in Alexandria.

Lattice parameters (Å, degrees): 5.4302 5.4302 16.7039 90.00 90.00 120.00
Space group R-3m (No. 166, hexagonal axes)
Symmetry-distinct sites (fractional):
1 Ac 0.0000 0.0000 0.2215 [6 per cell]
2 Bi 0.0000 0.0000 0.0000 [3 per cell]
3 H 0.0000 0.0000 0.4246 [6 per cell]
4 O 0.0200 0.5100 0.2427 [18 per cell]

Output
* density of states at the Fermi level: 0.169 states/eV per atom

***

Entry 19:
First-principles (PBE-GGA) data for Ac2BiHO6 after structural relaxation, as listed in Alexandria.

Lattice parameters (Å, degrees): 6.258 4.214 12.191 90.00 117.33 90.00
Space group P2_1/c (No. 14)
Symmetry-distinct sites (fractional):
1 Ac 0.179 0.165 0.181 [4 per cell]
2 Bi 0.500 0.000 0.000 [2 per cell]
3 H 0.000 0.000 0.500 [2 per cell]
4 O 0.101 0.207 0.462 [4 per cell]
5 O 0.228 0.685 0.326 [4 per cell]
6 O 0.421 0.749 0.127 [4 per cell]

Output
* density of states at the Fermi level: 0.219 states/eV per atom

***

Entry 20:
First-principles (PBE-GGA) data for AcBiHPd after structural relaxation, as listed in Alexandria.

Lattice parameters (Å, degrees): 7.073 7.073 7.073 90.00 90.00 90.00
Space group F-43m (No. 216)
Symmetry-distinct sites (fractional):
1 Ac 0.000 0.000 0.000 [4 per cell]
2 Bi 0.000 0.000 0.500 [4 per cell]
3 H 0.250 0.250 0.250 [4 per cell]
4 Pd 0.250 0.250 0.750 [4 per cell]

Output
* density of states at the Fermi level: 0.553 states/eV per atom

***

The calculation returns the following VASP energy values, one per record and in order: -4.332; -4.539; -4.145; -4.492; -4.233; -4.102; -3.692; -4.433; -4.480; -4.392; -4.622; -4.239; -3.313; -4.298; -4.452; -4.864; -4.200; -6.130; -6.507; -4.573 eV per atom.